This record from Alexandria via LeMat-Bulk describes crystalline BeIr2Os at its relaxed geometry. The functional is PBEsol.

Lattice parameters (Å, degrees): 2.7773 4.2863 4.9179 115.84 106.40 90.00
Closest atoms and distances in Å follow each position.
Fractional coordinates of all 4 atoms:
Be1 0.5000 0.0000 0.0000  4 Ir 2.31, 4 Os 2.55
Ir1 0.2190 0.2190 0.4380  2 Be 2.31
Os1 0.0000 0.5000 0.0000  4 Be 2.55, 8 Ir 2.74-2.83, 2 Os 2.78
Ir2 0.7810 0.7810 0.5620  2 Be 2.31

SG: No. 71
theoretical density: 19.4 Mg/m³
V: 12.508 Å³/atom
uncorrected energy: -9.03 eV/atom
ΔH_f (0 K): -0.06 eV/atom

This record from Alexandria via LeMat-Bulk describes crystalline KBe2Zn at its relaxed geometry. The functional is PBEsol.

Lattice parameters (Å, degrees): 4.6417 4.6417 4.6417 60.00 60.00 60.00
Closest atoms and distances in Å follow each position.
Fractional coordinates of all 4 atoms:
Zn1 0.2500 0.2500 0.2500  4 Be 2.84, 4 K 2.84
Be1 0.0000 0.0000 0.0000  4 Be 2.84, 4 Zn 2.84
K1 0.5000 0.5000 0.5000  4 Zn 2.84, 4 Be 2.84
Be2 0.7500 0.7500 0.7500  4 K 2.84, 4 Be 2.84

SG: No. 216
theoretical density: 2.9 Mg/m³
V: 17.679 Å³/atom
uncorrected energy: -1.65 eV/atom
ΔH_f (0 K): 1.03 eV/atom

This record from Alexandria via LeMat-Bulk describes crystalline CaTc2W at its relaxed geometry. The functional is PBEsol.

Lattice parameters (Å, degrees): 2.6603 5.3025 5.3025 113.43 100.70 100.70
Closest atoms and distances in Å follow each position.
Fractional coordinates of all 4 atoms:
Tc1 0.0000 0.0000 0.5000  4 Tc 2.66-2.91, 2 Ca 2.74, 2 W 2.74
Tc2 0.0000 0.5000 0.0000  4 Tc 2.66-2.91, 2 W 2.74, 2 Ca 2.74
Ca1 0.5000 0.0000 0.0000  2 Ca 2.66, 4 Tc 2.74, 2 W 2.91
W1 0.5000 0.5000 0.5000  2 W 2.66, 4 Tc 2.74, 2 Ca 2.91

SG: No. 12
theoretical density: 10.8 Mg/m³
V: 16.144 Å³/atom
excess energy over the best structure of this formula in the dataset: 115 meV/atom
uncorrected energy: -8.99 eV/atom
ΔH_f (0 K): 0.62 eV/atom

This record from Alexandria via LeMat-Bulk describes crystalline FeCu2Pt at its relaxed geometry. The functional is PBEsol.

Lattice parameters (Å, degrees): 2.6455 3.6321 5.1712 90.00 90.00 90.00
Closest atoms and distances in Å follow each position.
Fractional coordinates of all 4 atoms:
Pt1 0.0000 0.5000 0.7429  4 Fe 2.58, 6 Cu 2.58-2.65, 2 Pt 2.65
Fe1 0.5000 0.0000 0.4981  6 Cu 2.50-2.67, 4 Pt 2.58, 2 Fe 2.65
Cu1 0.5000 0.0000 0.0149  2 Fe 2.50-2.67, 6 Cu 2.54-2.65, 4 Pt 2.65
Cu2 0.0000 0.5000 0.2442  6 Cu 2.54-2.65, 2 Pt 2.58-2.59, 4 Fe 2.60

SG: No. 25
theoretical density: 12.6 Mg/m³
V: 12.422 Å³/atom
uncorrected energy: -6.18 eV/atom
ΔH_f (0 K): -0.04 eV/atom

- The highest ΔH_f (0 K) belongs to which entry?
  KBe2Zn

- Which formula does entry 3 have?
  CaTc2W